(1)
## AlReSe2Br (GGA-PBEsol)

Data for AlReSe2Br after structural relaxation.

Total moment (Bohr magnetons per cell): 4.7
Uncorrected formation energy (eV/f.u.): 4.87
Electronic total energy (Ry per atom): -0.325

Cell lengths 4.8980, 4.8980, 4.7411 Å; angles 90.00, 90.00, 90.00 degrees
Last column: nearest neighbours and their distance in Å.
Space group P4/mmm (No. 123)
Asymmetric unit:
Al  0.0000  0.0000  0.0000 (multiplicity 1)  2 Br 2.37, 4 Se 2.45
Re  0.5000  0.5000  0.5000 (multiplicity 1)  8 Se 3.41, 4 Br 3.46
Se  0.0000  0.5000  0.0000 (multiplicity 2)  2 Al 2.45
Br  0.0000  0.0000  0.5000 (multiplicity 1)  2 Al 2.37

(2)
## Fe2NiRh (GGA-PBEsol)

Data for Fe2NiRh after structural relaxation.

Total moment (Bohr magnetons per cell): 7.0
Electronic total energy (Ry per atom): -0.587
Formation energy from the elements (meV per atom): 68

Cell lengths 2.8445, 2.8445, 5.8466 Å; angles 90.00, 90.00, 90.00 degrees
Last column: nearest neighbours and their distance in Å.
Space group P4mm (No. 99)
Asymmetric unit:
Fe  0.0000  0.0000  0.0000 (multiplicity 1)  4 Fe 2.46, 4 Rh 2.51, 1 Ni 2.70
Fe  0.5000  0.5000  0.2422 (multiplicity 1)  4 Ni 2.39, 4 Fe 2.46
Ni  0.0000  0.0000  0.4620 (multiplicity 1)  4 Fe 2.39, 4 Rh 2.60
Rh  0.5000  0.5000  0.7432 (multiplicity 1)  4 Fe 2.51, 4 Ni 2.60